Record 1
The following is a DFT calculation (PBEsol) of crystalline KMoRh2 at its relaxed geometry.

Structure (POSCAR):
```
KMoRh2
1.0
4.643 -1.377 0.000
4.643 1.377 0.000
-0.829 0.000 6.272
K Mo Rh
1 1 2
Cartesian
0.000 0.000 0.000 K
1.490 0.000 3.746 Mo
4.078 0.000 3.226 Rh
6.914 0.000 1.839 Rh
```

The space-group type is Cm. As for the crystal system: monoclinic. As for the formation enthalpy at 0 K: 270 kJ/mol of formula units.



Record 2
The following is a DFT calculation (PBEsol) of crystalline KMo2Rh at its relaxed geometry.

Structure (POSCAR):
```
KMo2Rh
1.0
0.000 3.209 3.209
3.209 0.000 3.209
3.209 3.209 0.000
K Mo Rh
1 2 1
Cartesian
0.000 0.000 0.000 K
1.604 1.604 1.604 Mo
3.209 3.209 3.209 Mo
4.813 4.813 4.813 Rh
```

The space-group type is F-43m. As for the crystal system: cubic. The energy above the lowest structure with this stoichiometry comes out at 0.0 meV/atom. As for the formation enthalpy at 0 K: 507 kJ/mol of formula units.



Record 3
The following is a DFT calculation (PBEsol) of crystalline KMo2Rh at its relaxed geometry.

Structure (POSCAR):
```
KMo2Rh
1.0
3.743 0.000 0.000
0.000 3.743 0.000
0.000 0.000 4.919
K Mo Rh
1 2 1
Cartesian
0.000 0.000 0.000 K
0.000 1.871 2.460 Mo
1.871 0.000 2.460 Mo
1.871 1.871 0.000 Rh
```

The space-group type is P4/mmm. As for the crystal system: tetragonal. The energy above the lowest structure with this stoichiometry comes out at 176.7 meV/atom. As for the formation enthalpy at 0 K: 575 kJ/mol of formula units.



Record 4
The following is a DFT calculation (PBEsol) of crystalline KSrMoRh2 at its relaxed geometry.

Structure (POSCAR):
```
KSrMoRh2
1.0
5.021 0.000 0.000
0.000 5.021 0.000
0.000 0.000 5.557
K Sr Mo Rh
1 1 1 2
Cartesian
0.000 0.000 0.000 K
2.510 2.510 2.779 Sr
2.510 2.510 0.000 Mo
0.000 2.510 2.779 Rh
2.510 0.000 2.779 Rh
```

The space-group type is P4/mmm. As for the crystal system: tetragonal. As for the formation enthalpy at 0 K: 1022 kJ/mol of formula units.



Record 5
The following is a DFT calculation (PBEsol) of crystalline K2MoRu at its relaxed geometry.

Structure (POSCAR):
```
K2MoRu
1.0
10.365 -1.664 0.000
10.365 1.664 0.000
-0.585 0.000 3.549
K Mo Ru
2 1 1
Cartesian
2.978 0.000 0.486 K
17.166 0.000 3.063 K
-0.293 0.000 1.775 Mo
10.365 0.000 0.000 Ru
```

The space-group type is C2/m. As for the crystal system: monoclinic. The energy above the lowest structure with this stoichiometry comes out at 0.0 meV/atom. As for the formation enthalpy at 0 K: 322 kJ/mol of formula units.



Record 6
The following is a DFT calculation (PBEsol) of crystalline K2MoRu at its relaxed geometry.

Structure (POSCAR):
```
K2MoRu
1.0
0.000 3.712 3.712
3.712 0.000 3.712
3.712 3.712 0.000
K Mo Ru
2 1 1
Cartesian
1.856 1.856 1.856 K
5.567 5.567 5.567 K
0.000 0.000 0.000 Mo
3.712 3.712 3.712 Ru
```

The space-group type is Fm-3m. As for the crystal system: cubic. The energy above the lowest structure with this stoichiometry comes out at 1573.7 meV/atom. As for the formation enthalpy at 0 K: 929 kJ/mol of formula units.



Record 7
The following is a DFT calculation (PBEsol) of crystalline KMoRu2 at its relaxed geometry.

Structure (POSCAR):
```
KMoRu2
1.0
2.687 0.000 0.000
0.000 3.666 0.000
0.000 0.000 8.181
K Mo Ru
1 1 2
Cartesian
0.000 0.000 0.000 K
1.344 1.833 2.977 Mo
0.000 0.000 4.394 Ru
1.344 1.833 5.527 Ru
```

The space-group type is Pmm2. As for the crystal system: orthorhombic. As for the formation enthalpy at 0 K: 334 kJ/mol of formula units.



Record 8
The following is a DFT calculation (PBEsol) of crystalline KTlMoRu2 at its relaxed geometry.

Structure (POSCAR):
```
KTlMoRu2
1.0
5.051 0.000 0.000
0.000 5.051 0.000
0.000 0.000 5.244
K Tl Mo Ru
1 1 1 2
Cartesian
0.000 0.000 0.000 K
2.526 2.526 2.622 Tl
2.526 2.526 0.000 Mo
0.000 2.526 2.622 Ru
2.526 0.000 2.622 Ru
```

The space-group type is P4/mmm. As for the crystal system: tetragonal. As for the formation enthalpy at 0 K: 1160 kJ/mol of formula units.



Record 9
The following is a DFT calculation (PBEsol) of crystalline K2Mo15S19 at its relaxed geometry.

Structure (POSCAR):
```
K2Mo15S19
1.0
4.637 2.677 18.686
-4.637 2.677 18.686
0.000 -5.354 18.686
K Mo S
4 30 38
Cartesian
0.000 0.000 6.269 K
0.000 0.000 21.759 K
0.000 0.000 34.298 K
0.000 0.000 49.787 K
-4.000 1.271 19.849 Mo
-1.547 -0.080 11.740 Mo
-0.772 -1.336 14.014 Mo
-1.547 0.080 16.288 Mo
-3.101 -2.829 36.207 Mo
0.899 -4.100 19.849 Mo
0.843 -1.300 11.740 Mo
-0.772 1.336 14.014 Mo
0.705 -1.380 16.288 Mo
-1.536 -0.152 26.864 Mo
-0.637 -1.406 29.192 Mo
0.705 1.380 11.740 Mo
1.543 0.000 14.014 Mo
0.843 1.300 16.288 Mo
0.899 -1.254 26.864 Mo
-0.899 1.254 29.192 Mo
-0.843 -1.300 39.768 Mo
-1.543 0.000 42.042 Mo
-0.705 -1.380 44.317 Mo
0.637 1.406 26.864 Mo
1.536 0.152 29.192 Mo
-0.705 1.380 39.768 Mo
0.772 -1.336 42.042 Mo
-0.843 1.300 44.317 Mo
-0.899 4.100 36.207 Mo
3.101 2.829 19.849 Mo
1.547 -0.080 39.768 Mo
0.772 1.336 42.042 Mo
1.547 0.080 44.317 Mo
4.000 -1.271 36.207 Mo
-3.104 -0.364 21.344 S
-1.148 -2.809 19.592 S
0.000 0.000 3.011 S
-1.812 -2.677 23.357 S
-3.401 -0.193 25.370 S
0.000 0.000 9.904 S
-1.533 -3.041 30.687 S
-2.778 -0.279 28.934 S
-1.148 -2.545 27.122 S
-3.224 0.230 32.700 S
-1.859 2.398 19.592 S
-3.007 -0.411 36.465 S
-1.236 -2.870 34.712 S
0.000 0.000 18.124 S
1.867 -2.506 21.344 S
-1.413 2.908 23.357 S
0.000 0.000 25.017 S
-1.630 2.266 27.122 S
1.867 -2.849 25.370 S
-1.867 2.849 30.687 S
1.630 -2.266 28.934 S
0.000 0.000 31.039 S
1.413 -2.908 32.700 S
-1.867 2.506 34.712 S
0.000 0.000 37.932 S
1.236 2.870 21.344 S
3.007 0.411 19.592 S
1.859 -2.398 36.465 S
3.224 -0.230 23.357 S
1.148 2.545 28.934 S
2.778 0.279 27.122 S
1.533 3.041 25.370 S
0.000 0.000 46.153 S
3.401 0.193 30.687 S
1.812 2.677 32.700 S
0.000 0.000 53.045 S
1.148 2.809 36.465 S
3.104 0.364 34.712 S
```

The space-group type is R-3c. Its uncorrected formation energy is -0.8262 eV/atom. As for the crystal system: trigonal.



Record 10
The following is a DFT calculation (PBEsol) of crystalline KMo3S at its relaxed geometry.

Structure (POSCAR):
```
KMo3S
1.0
4.534 0.000 0.000
0.000 4.534 0.000
0.000 0.000 4.534
K Mo S
1 3 1
Cartesian
0.000 0.000 0.000 K
0.000 2.267 2.267 Mo
2.267 0.000 2.267 Mo
2.267 2.267 0.000 Mo
2.267 2.267 2.267 S
```

The space-group type is Pm-3m. Its uncorrected formation energy is 1.0821 eV/atom. As for the crystal system: cubic.



Record 11
The following is a DFT calculation (PBEsol) of crystalline K2Mo9S11 at its relaxed geometry.

Structure (POSCAR):
```
K2Mo9S11
1.0
4.593 2.652 11.910
-4.593 2.652 11.910
0.000 -5.304 11.910
K Mo S
4 18 22
Cartesian
0.000 0.000 1.903 K
0.000 0.000 15.961 K
0.000 0.000 19.767 K
0.000 0.000 33.826 K
-1.524 0.087 6.679 Mo
-0.778 -1.347 8.932 Mo
-1.524 -0.087 11.186 Mo
0.687 -1.363 6.679 Mo
-0.778 1.347 8.932 Mo
0.837 -1.277 11.186 Mo
0.837 1.277 6.679 Mo
1.556 0.000 8.932 Mo
0.687 1.363 11.186 Mo
-0.687 -1.363 24.543 Mo
-1.556 0.000 26.797 Mo
-0.837 -1.277 29.050 Mo
-0.837 1.277 24.543 Mo
0.778 -1.347 26.797 Mo
-0.687 1.363 29.050 Mo
1.524 0.087 24.543 Mo
0.778 1.347 26.797 Mo
1.524 -0.087 29.050 Mo
-1.240 -2.518 10.994 S
-1.770 -2.652 14.887 S
-3.033 -0.319 16.948 S
0.000 0.000 4.859 S
-1.240 -2.786 18.780 S
-3.182 0.207 20.842 S
-1.560 2.333 10.994 S
0.000 0.000 13.005 S
-2.801 -0.185 24.735 S
-1.412 2.859 14.887 S
-1.793 2.467 18.780 S
1.793 -2.467 16.948 S
1.412 -2.859 20.842 S
2.801 0.185 10.994 S
0.000 0.000 22.724 S
1.560 -2.333 24.735 S
3.182 -0.207 14.887 S
1.240 2.786 16.948 S
0.000 0.000 30.869 S
3.033 0.319 18.780 S
1.770 2.652 20.842 S
1.240 2.518 24.735 S
```

The space-group type is R-3c. Its uncorrected formation energy is -0.8507 eV/atom. As for the crystal system: trigonal.



Record 12
The following is a DFT calculation (PBEsol) of crystalline KSb4Mo at its relaxed geometry.

Structure (POSCAR):
```
KSb4Mo
1.0
0.000 4.393 4.393
4.393 0.000 4.393
4.393 4.393 0.000
K Sb Mo
1 4 1
Cartesian
0.000 0.000 0.000 K
5.487 3.299 3.299 Sb
3.299 5.487 3.299 Sb
3.299 3.299 5.487 Sb
5.487 5.487 5.487 Sb
2.196 2.196 2.196 Mo
```

The space-group type is F-43m. Its uncorrected formation energy is 0.6797 eV/atom. As for the crystal system: cubic.



Number 1: Fermi-level density of states 1.531 states/eV/atom. Number 2: Fermi-level density of states 1.376 states/eV/atom. Number 3: Fermi-level density of states 1.248 states/eV/atom. Number 4: Fermi-level density of states 0.951 states/eV/atom. Number 5: Fermi-level density of states 0.917 states/eV/atom. Number 6: Fermi-level density of states 1.873 states/eV/atom. Number 7: Fermi-level density of states 1.164 states/eV/atom. Number 8: Fermi-level density of states 1.884 states/eV/atom. Number 9: Fermi-level density of states 0.534 states/eV/atom. Number 10: Fermi-level density of states 1.404 states/eV/atom. Number 11: Fermi-level density of states 0.344 states/eV/atom. Number 12: Fermi-level density of states 0.515 states/eV/atom.